Entry 1:
VASP calculation (PBE) on an optimized crystal structure of Y2MgPt.

Cell: 3.6193 3.5992 8.3033 Å, 64.30 90.00 90.00°
With the nearest neighbours (Å) after each atom.
Positions (direct):
Pt: 0.5000 0.7500 0.7500  8 Y 3.03
Mg: 0.5000 0.2500 0.2500  8 Y 3.31, 4 Mg 3.60-3.62
Y: 0.0000 0.0313 0.9691  4 Pt 3.03, 1 Y 3.28, 4 Mg 3.31
Y: 0.0000 0.4687 0.5309  4 Pt 3.03, 1 Y 3.28, 4 Mg 3.31

## Properties
- DFT formation energy (kJ per mole of atoms) = -65.1
- M_tot (Bohr magnetons per cell) = 0.0
- SG = No. 47



Entry 2:
VASP calculation (PBE) on an optimized crystal structure of Pr2TlBi.

Cell: 4.5808 4.7002 12.8748 Å, 100.52 90.00 90.00°
With the nearest neighbours (Å) after each atom.
Positions (direct):
Tl: 0.2500 0.4563 0.9127  2 Tl 3.18, 5 Pr 3.32-3.53
Bi: 0.7500 0.8114 0.6228  6 Pr 3.19-3.28
Pr: 0.2500 0.3169 0.6338  5 Bi 3.25-3.28, 1 Tl 3.53
Pr: 0.2500 0.0628 0.1256  1 Bi 3.19, 4 Tl 3.32
Tl: 0.7500 0.5437 0.0873  2 Tl 3.18, 5 Pr 3.32-3.53
Bi: 0.2500 0.1886 0.3772  6 Pr 3.19-3.28
Pr: 0.7500 0.6831 0.3662  5 Bi 3.25-3.28, 1 Tl 3.53
Pr: 0.7500 0.9372 0.8744  1 Bi 3.19, 4 Tl 3.32

## Properties
- energy relative to the lowest polymorph listed for this composition (kcal/mol of atoms) = 0.00
- DFT formation energy (kJ per mole of atoms) = -62.3
- M_tot (Bohr magnetons per cell) = 0.0
- SG = No. 63



Entry 3:
VASP calculation (PBE) on an optimized crystal structure of Li3Zn4Rh.

Cell: 4.3891 5.8728 8.7941 Å, 90.00 90.00 90.00°
With the nearest neighbours (Å) after each atom.
Positions (direct):
Zn: 0.5000 0.7427 0.0000  2 Rh 2.62, 6 Li 2.62-2.67, 1 Zn 2.85
Li: 0.4843 0.0000 0.2500  8 Zn 2.67, 2 Li 2.94
Zn: 0.0155 0.2590 0.7500  6 Li 2.61-2.67, 2 Rh 2.62, 1 Zn 2.83
Rh: 0.0000 0.5000 0.0000  8 Zn 2.62
Zn: 0.5000 0.2573 0.5000  2 Rh 2.62, 6 Li 2.62-2.67, 1 Zn 2.85
Rh: 0.0000 0.5000 0.5000  8 Zn 2.62
Zn: 0.5000 0.7427 0.5000  2 Rh 2.62, 6 Li 2.62-2.67, 1 Zn 2.85
Zn: 0.0155 0.7410 0.7500  6 Li 2.61-2.67, 2 Rh 2.62, 1 Zn 2.83
Li: 0.5157 0.0000 0.7500  8 Zn 2.67, 2 Li 2.94
Li: 0.5167 0.5000 0.7500  8 Zn 2.61-2.62
Li: 0.4833 0.5000 0.2500  8 Zn 2.61-2.62
Zn: 0.5000 0.2573 0.0000  2 Rh 2.62, 6 Li 2.62-2.67, 1 Zn 2.85
Li: 0.0000 0.0000 0.0000  8 Zn 2.66-2.67, 2 Rh 2.94
Zn: 0.9845 0.7410 0.2500  6 Li 2.61-2.67, 2 Rh 2.62, 1 Zn 2.83
Li: 0.0000 0.0000 0.5000  8 Zn 2.66-2.67, 2 Rh 2.94
Zn: 0.9845 0.2590 0.2500  6 Li 2.61-2.67, 2 Rh 2.62, 1 Zn 2.83

## Properties
- DFT formation energy (kJ per mole of atoms) = -26.0
- M_tot (Bohr magnetons per cell) = 0.0
- SG = No. 51



Entry 4:
VASP calculation (PBE) on an optimized crystal structure of Ca2LaPmHg4.

Cell: 5.4062 5.4062 9.3583 Å, 73.21 73.21 60.00°
With the nearest neighbours (Å) after each atom.
Positions (direct):
Hg: 0.3769 0.3769 0.8692  1 Pm 3.26, 4 Ca 3.30-3.38, 3 La 3.33
Ca: 0.7507 0.7507 0.7478  8 Hg 3.26-3.38
Hg: 0.1261 0.1261 0.6218  4 Ca 3.26-3.31, 3 Pm 3.30, 1 La 3.34
Hg: 0.6231 0.6231 0.1308  1 Pm 3.26, 4 Ca 3.30-3.38, 3 La 3.33
Hg: 0.8739 0.8739 0.3782  4 Ca 3.26-3.31, 3 Pm 3.30, 1 La 3.34
Ca: 0.2493 0.2493 0.2522  8 Hg 3.26-3.38
Pm: 0.5000 0.5000 0.5000  8 Hg 3.26-3.30
La: 0.0000 0.0000 0.0000  8 Hg 3.33-3.34

## Properties
- DFT formation energy (kJ per mole of atoms) = -53.2
- M_tot (Bohr magnetons per cell) = 0.0
- SG = No. 166



Entry 5:
VASP calculation (PBE) on an optimized crystal structure of Y5Ta4.

Cell: 8.1838 8.1838 8.1838 Å, 92.66 92.66 155.14°
With the nearest neighbours (Å) after each atom.
Positions (direct):
Y: 0.6682 0.3318 0.0000  6 Y 3.15-3.52, 4 Ta 3.41
Ta: 0.0000 0.6357 0.6357  5 Ta 2.79-3.07
Ta: 0.6357 0.0000 0.6357  5 Ta 2.79-3.07
Ta: 0.0000 0.3643 0.3643  5 Ta 2.79-3.07
Ta: 0.3643 0.0000 0.3643  5 Ta 2.79-3.07
Y: 0.0000 0.0000 0.0000  10 Y 3.21-3.52
Y: 0.3318 0.3318 0.6637  6 Y 3.15-3.52, 4 Ta 3.41
Y: 0.3318 0.6682 0.0000  6 Y 3.15-3.52, 4 Ta 3.41
Y: 0.6682 0.6682 0.3363  6 Y 3.15-3.52, 4 Ta 3.41

## Properties
- energy relative to the lowest polymorph listed for this composition (kcal/mol of atoms) = 0.00
- DFT formation energy (kJ per mole of atoms) = 35.0
- M_tot (Bohr magnetons per cell) = 0.0
- SG = No. 139



Entry 6:
VASP calculation (PBE) on an optimized crystal structure of CaErIn2Te4.

Cell: 4.4306 7.7864 8.0809 Å, 108.22 90.00 90.00°
With the nearest neighbours (Å) after each atom.
Positions (direct):
Te: 0.5000 0.7696 0.7712  2 Er 3.08, 1 Ca 3.20, 3 In 3.24-3.35
In: 0.5000 0.0000 0.5000  6 Te 3.23-3.24
In: 0.0000 0.5000 0.5000  6 Te 3.35-3.36
Er: 0.0000 0.0000 0.0000  6 Te 3.07-3.08
Ca: 0.5000 0.5000 0.0000  6 Te 3.20
Te: 0.0000 0.7592 0.2364  1 Er 3.07, 2 Ca 3.20, 3 In 3.23-3.36
Te: 0.5000 0.2304 0.2288  2 Er 3.08, 1 Ca 3.20, 3 In 3.24-3.35
Te: 0.0000 0.2408 0.7636  1 Er 3.07, 2 Ca 3.20, 3 In 3.23-3.36

## Properties
- E_form (uncorrected) (eV per atom) = -0.9105
- M_tot (Bohr magnetons per cell) = 0.0
- SG = No. 10



Entry 7:
VASP calculation (PBE) on an optimized crystal structure of MgFeRu.

Cell: 6.9457 4.3693 2.9902 Å, 90.00 90.00 108.34°
With the nearest neighbours (Å) after each atom.
Positions (direct):
Mg: 0.7873 0.6625 0.5047  6 Fe 2.65-2.92, 2 Ru 2.72, 2 Mg 2.87
Fe: 0.7852 0.1614 0.0046  2 Fe 2.43, 2 Ru 2.59, 4 Mg 2.65
Ru: 0.1068 0.3223 0.5047  2 Fe 2.59, 4 Mg 2.67, 2 Ru 2.68
Ru: 0.4434 0.4915 0.0046  4 Fe 2.67, 2 Ru 2.68, 4 Mg 2.72-2.89
Fe: 0.4939 0.0168 0.5045  2 Fe 2.43, 4 Ru 2.67, 2 Mg 2.67
Mg: 0.1580 0.8480 0.0047  6 Ru 2.67-2.89, 2 Fe 2.67, 2 Mg 2.87

## Properties
- energy relative to the lowest polymorph listed for this composition (kcal/mol of atoms) = 2.59
- DFT formation energy (kJ per mole of atoms) = 16.3
- M_tot (Bohr magnetons per cell) = 5.7
- SG = No. 38



Entry 8:
VASP calculation (PBE) on an optimized crystal structure of ScCrRu2.

Cell: 4.3802 4.3802 4.3802 Å, 60.00 60.00 60.00°
With the nearest neighbours (Å) after each atom.
Positions (direct):
Cr: 0.5000 0.5000 0.5000  4 Ru 2.68, 4 Sc 2.68
Ru: 0.2500 0.2500 0.2500  4 Cr 2.68, 4 Ru 2.68
Ru: 0.0000 0.0000 0.0000  4 Ru 2.68, 4 Sc 2.68
Sc: 0.7500 0.7500 0.7500  4 Ru 2.68, 4 Cr 2.68

## Properties
- DFT formation energy (kJ per mole of atoms) = 11.5
- M_tot (Bohr magnetons per cell) = 1.2
- SG = No. 216



> Look up the M_tot of the second one.

0.0 Bohr magnetons per cell